Material: K3TlAg
Method: DFT, PBE
State: relaxed

a b c (Å): 6.450 6.450 11.629
angles (deg): 90.00 90.00 125.03
Fractional positions:
K  0.125  0.875  0.750
K  0.178  0.822  0.081
K  0.178  0.822  0.419
K  0.822  0.178  0.581
K  0.822  0.178  0.919
K  0.875  0.125  0.250
Tl  0.445  0.555  0.750
Tl  0.555  0.445  0.250
Ag  0.500  0.500  0.000
Ag  0.500  0.500  0.500

Output
* E: -0.062 Ha/atom
* distance to the lowest polymorph of the same formula: 0 meV per atom
* formation energy: 10 meV per atom


Material: K3Tl2Ag7
Method: DFT, PBE
State: relaxed

a b c (Å): 10.344 10.344 10.344
angles (deg): 33.94 33.94 33.94
Fractional positions:
K  0.000  0.000  0.000
K  0.142  0.142  0.142
K  0.858  0.858  0.858
Tl  0.332  0.332  0.332
Tl  0.668  0.668  0.668
Ag  0.088  0.584  0.584
Ag  0.416  0.416  0.912
Ag  0.416  0.912  0.416
Ag  0.500  0.500  0.500
Ag  0.584  0.088  0.584
Ag  0.584  0.584  0.088
Ag  0.912  0.416  0.416

Output
* E: -0.086 Ha/atom
* formation energy: 4 meV per atom


Material: K3TlAg4
Method: DFT, PBE
State: relaxed

a b c (Å): 6.732 7.707 9.970
angles (deg): 90.00 90.00 90.00
Fractional positions:
K  0.000  0.000  0.000
K  0.000  0.239  0.363
K  0.000  0.761  0.363
K  0.500  0.261  0.863
K  0.500  0.500  0.500
K  0.500  0.739  0.863
Tl  0.000  0.500  0.958
Tl  0.500  0.000  0.458
Ag  0.000  0.316  0.707
Ag  0.000  0.684  0.707
Ag  0.204  0.000  0.654
Ag  0.296  0.500  0.154
Ag  0.500  0.184  0.207
Ag  0.500  0.816  0.207
Ag  0.704  0.500  0.154
Ag  0.796  0.000  0.654

Output
* E: -0.078 Ha/atom
* formation energy: 13 meV per atom